The following is a DFT calculation (GGA-PBE) of crystalline Pr3Dy2In at its relaxed geometry.

Summary:
energy of formation	-0.152	eV/atom
total magnetic moment	0.0000	μB per atom
density	7.48	g/cm3

Cell: 4.9506 5.0350 8.0871 Å, 108.14 90.00 90.00°
Positions (direct):
Pr 0.5000 0.1687 0.3374
Pr 0.5000 0.8313 0.6626
Pr 0.5000 0.5000 0.0000
In 0.0000 0.0000 0.0000
Dy 0.0000 0.6626 0.3252
Dy 0.0000 0.3374 0.6748

The following is a DFT calculation (GGA-PBE) of crystalline Pr2Dy7In2 at its relaxed geometry.

Summary:
energy of formation	0.135	eV/atom
total magnetic moment	0.0000	μB per atom
density	7.56	g/cm3

Cell: 6.7887 9.1164 6.7887 Å, 90.00 120.50 90.00°
Positions (direct):
Dy 0.9998 0.2956 0.5003
Dy 0.5003 0.7044 0.9998
Dy 0.4997 0.2956 0.0002
Dy 0.0000 0.0000 0.0000
Dy 0.0002 0.7044 0.4997
Dy 0.4998 0.1826 0.5002
Dy 0.5002 0.8174 0.4998
Pr 0.2368 0.5000 0.2368
Pr 0.7632 0.5000 0.7632
In 0.7294 0.0000 0.2706
In 0.2706 0.0000 0.7294

The following is a DFT calculation (GGA-PBE) of crystalline PrDy5In4 at its relaxed geometry.

Summary:
energy of formation	-0.378	eV/atom
total magnetic moment	0.0002	μB per atom
density	8.39	g/cm3

Cell: 3.5607 3.5607 22.0562 Å, 90.00 90.00 90.00°
Positions (direct):
In 0.0000 0.0000 0.7864
In 0.0000 0.0000 0.5954
In 0.0000 0.0000 0.2136
In 0.0000 0.0000 0.4046
Dy 0.5000 0.5000 0.6908
Dy 0.5000 0.5000 0.8802
Dy 0.5000 0.5000 0.5000
Dy 0.5000 0.5000 0.3092
Dy 0.5000 0.5000 0.1198
Pr 0.0000 0.0000 0.0000